Record 1
{
  "formula": "Mn2Ir",
  "functional": "PBE",
  "state": "optimized geometry",
  "lattice_angstrom": [[3.999, 0.000, 0.000], [-1.999, 3.463, 0.000], [0.000, 0.000, 2.619]],
  "species": ["Mn", "Mn", "Ir"],
  "fractional_positions": [[0.333, 0.667, 0.000], [0.667, 0.333, 0.000], [0.000, 0.000, 0.500]],
  "total_energy_ev_per_atom": -9.14,
  "formation_energy_mev_per_atom": -77.5,
  "space_group": "P6/mmm"
}

=====

Record 2
{
  "formula": "CaLa2Hg7",
  "functional": "PBE",
  "state": "optimized geometry",
  "lattice_angstrom": [[5.158, 0.000, 0.000], [-2.579, 4.467, 0.000], [0.000, 0.000, 12.229]],
  "species": ["Ca", "La", "La", "Hg", "Hg", "Hg", "Hg", "Hg", "Hg", "Hg"],
  "fractional_positions": [[0.000, 0.000, 0.000], [0.333, 0.667, 0.716], [0.667, 0.333, 0.382], [0.000, 0.000, 0.280], [0.000, 0.000, 0.570], [0.333, 0.667, 0.218], [0.333, 0.667, 0.469], [0.333, 0.667, 0.972], [0.667, 0.333, 0.103], [0.667, 0.333, 0.839]],
  "total_energy_ev_per_atom": -1.76,
  "formation_energy_mev_per_atom": -363.5,
  "space_group": "P3m1"
}

=====

Record 3
{
  "formula": "Ti2ReClO",
  "functional": "PBE",
  "state": "optimized geometry",
  "lattice_angstrom": [[5.039, 0.000, 0.000], [0.000, 5.039, 0.000], [0.000, 0.000, 3.806]],
  "species": ["Ti", "Ti", "Re", "Cl", "O"],
  "fractional_positions": [[0.000, 0.500, 0.000], [0.500, 0.000, 0.000], [0.000, 0.000, 0.000], [0.500, 0.500, 0.500], [0.000, 0.000, 0.500]],
  "e_form_raw_ev_per_atom": 0.023,
  "total_energy_ev_per_atom": -6.99,
  "space_group": "P4/mmm"
}

=====

Record 4
{
  "formula": "Nd3DyRu2",
  "functional": "PBE",
  "state": "optimized geometry",
  "lattice_angstrom": [[8.227, -2.161, 0.000], [8.227, 2.161, 0.000], [-4.845, 0.000, 9.823]],
  "species": ["Nd", "Nd", "Nd", "Nd", "Nd", "Nd", "Dy", "Dy", "Ru", "Ru", "Ru", "Ru"],
  "fractional_positions": [[0.052, 0.052, 0.223], [0.213, 0.213, 0.598], [0.334, 0.334, 0.976], [0.666, 0.666, 0.024], [0.787, 0.787, 0.402], [0.948, 0.948, 0.777], [0.428, 0.428, 0.336], [0.572, 0.572, 0.664], [0.139, 0.139, 0.838], [0.384, 0.384, 0.581], [0.616, 0.616, 0.419], [0.861, 0.861, 0.162]],
  "total_energy_ev_per_atom": -6.41,
  "formation_energy_mev_per_atom": -163.9,
  "space_group": "C2/m"
}

=====

Record 5
{
  "formula": "Tb7Nd16Dy6",
  "functional": "PBE",
  "state": "optimized geometry",
  "lattice_angstrom": [[0.000, 8.012, 8.012], [8.012, 0.000, 8.012], [8.012, 8.012, 0.000]],
  "species": ["Tb", "Tb", "Tb", "Tb", "Tb", "Tb", "Tb", "Nd", "Nd", "Nd", "Nd", "Nd", "Nd", "Nd", "Nd", "Nd", "Nd", "Nd", "Nd", "Nd", "Nd", "Nd", "Nd", "Dy", "Dy", "Dy", "Dy", "Dy", "Dy"],
  "fractional_positions": [[0.000, 0.000, 0.000], [0.000, 0.000, 0.500], [0.000, 0.500, 0.000], [0.000, 0.500, 0.500], [0.500, 0.000, 0.000], [0.500, 0.000, 0.500], [0.500, 0.500, 0.000], [0.051, 0.650, 0.650], [0.125, 0.125, 0.125], [0.125, 0.125, 0.625], [0.125, 0.625, 0.125], [0.350, 0.350, 0.350], [0.350, 0.350, 0.949], [0.350, 0.949, 0.350], [0.375, 0.875, 0.875], [0.625, 0.125, 0.125], [0.650, 0.051, 0.650], [0.650, 0.650, 0.051], [0.650, 0.650, 0.650], [0.875, 0.375, 0.875], [0.875, 0.875, 0.375], [0.875, 0.875, 0.875], [0.949, 0.350, 0.350], [0.266, 0.266, 0.734], [0.266, 0.734, 0.266], [0.266, 0.734, 0.734], [0.734, 0.266, 0.266], [0.734, 0.266, 0.734], [0.734, 0.734, 0.266]],
  "total_energy_ev_per_atom": -4.49,
  "formation_energy_mev_per_atom": 210.8,
  "space_group": "Fm-3m"
}

=====

Record 6
{
  "formula": "Ce3Ge6Pt2Rh",
  "functional": "PBE",
  "state": "optimized geometry",
  "lattice_angstrom": [[6.012, 0.000, 0.000], [-3.006, 5.206, 0.000], [0.000, 0.000, 7.844]],
  "species": ["Ce", "Ce", "Ce", "Ge", "Ge", "Ge", "Ge", "Ge", "Ge", "Pt", "Pt", "Rh"],
  "fractional_positions": [[0.000, 0.000, 0.000], [0.333, 0.667, 0.662], [0.667, 0.333, 0.338], [0.189, 0.378, 0.300], [0.189, 0.811, 0.300], [0.378, 0.189, 0.700], [0.622, 0.811, 0.300], [0.811, 0.189, 0.700], [0.811, 0.622, 0.700], [0.333, 0.667, 0.019], [0.667, 0.333, 0.981], [0.000, 0.000, 0.500]],
  "total_energy_ev_per_atom": -5.92,
  "formation_energy_mev_per_atom": -506.8,
  "space_group": "P-3m1"
}

=====

Record 7
{
  "formula": "BaTe2F10",
  "functional": "PBE",
  "state": "optimized geometry",
  "lattice_angstrom": [[8.820, -2.473, 0.000], [8.820, 2.473, 0.000], [-4.075, 0.000, 9.651]],
  "species": ["Ba", "Ba", "Te", "Te", "Te", "Te", "F", "F", "F", "F", "F", "F", "F", "F", "F", "F", "F", "F", "F", "F", "F", "F", "F", "F", "F", "F"],
  "fractional_positions": [[0.044, 0.956, 0.750], [0.956, 0.044, 0.250], [0.285, 0.398, 0.430], [0.398, 0.285, 0.930], [0.602, 0.715, 0.070], [0.715, 0.602, 0.570], [0.039, 0.555, 0.254], [0.058, 0.278, 0.463], [0.177, 0.701, 0.447], [0.191, 0.595, 0.841], [0.278, 0.058, 0.963], [0.299, 0.823, 0.053], [0.357, 0.496, 0.120], [0.405, 0.809, 0.659], [0.445, 0.961, 0.246], [0.496, 0.357, 0.620], [0.504, 0.643, 0.380], [0.555, 0.039, 0.754], [0.595, 0.191, 0.341], [0.643, 0.504, 0.880], [0.701, 0.177, 0.947], [0.722, 0.942, 0.037], [0.809, 0.405, 0.159], [0.823, 0.299, 0.553], [0.942, 0.722, 0.537], [0.961, 0.445, 0.746]],
  "e_form_raw_ev_per_atom": -2.581,
  "total_energy_ev_per_atom": -4.65,
  "space_group": "C2/c"
}

=====

Record 8
{
  "formula": "Tc2NiOs",
  "functional": "PBE",
  "state": "optimized geometry",
  "lattice_angstrom": [[3.128, 0.000, 0.000], [0.000, 3.128, 0.000], [0.000, 0.000, 5.632]],
  "species": ["Tc", "Tc", "Ni", "Os"],
  "fractional_positions": [[0.000, 0.000, 0.220], [0.000, 0.000, 0.780], [0.500, 0.500, 0.000], [0.500, 0.500, 0.500]],
  "total_energy_ev_per_atom": -9.17,
  "formation_energy_mev_per_atom": 268.9,
  "relative_energy_mev_per_atom": 320.6,
  "space_group": "P4/mmm"
}

=====

Record 9
{
  "formula": "Ce2ReWN6",
  "functional": "PBE",
  "state": "optimized geometry",
  "lattice_angstrom": [[5.511, 0.000, 0.000], [0.000, 5.626, 0.000], [-5.492, 0.000, 7.871]],
  "species": ["Ce", "Ce", "Ce", "Ce", "Re", "Re", "W", "W", "N", "N", "N", "N", "N", "N", "N", "N", "N", "N", "N", "N"],
  "fractional_positions": [[0.245, 0.050, 0.249], [0.245, 0.450, 0.749], [0.755, 0.550, 0.251], [0.755, 0.950, 0.751], [0.500, 0.000, 0.000], [0.500, 0.500, 0.500], [0.000, 0.000, 0.500], [0.000, 0.500, 0.000], [0.160, 0.200, 0.961], [0.160, 0.300, 0.461], [0.263, 0.702, 0.961], [0.263, 0.798, 0.461], [0.326, 0.017, 0.750], [0.326, 0.483, 0.250], [0.674, 0.517, 0.750], [0.674, 0.983, 0.250], [0.737, 0.202, 0.539], [0.737, 0.298, 0.039], [0.840, 0.700, 0.539], [0.840, 0.800, 0.039]],
  "e_form_raw_ev_per_atom": -0.900,
  "total_energy_ev_per_atom": -9.62,
  "space_group": "P2_1/c"
}

=====

Record 10
{
  "formula": "LaHgBr",
  "functional": "PBE",
  "state": "optimized geometry",
  "lattice_angstrom": [[7.400, 0.000, 0.000], [0.000, 7.400, 0.000], [0.000, 0.000, 7.400]],
  "species": ["La", "La", "La", "La", "Hg", "Hg", "Hg", "Hg", "Br", "Br", "Br", "Br"],
  "fractional_positions": [[0.000, 0.000, 0.000], [0.000, 0.500, 0.500], [0.500, 0.000, 0.500], [0.500, 0.500, 0.000], [0.250, 0.250, 0.750], [0.250, 0.750, 0.250], [0.750, 0.250, 0.250], [0.750, 0.750, 0.750], [0.000, 0.000, 0.500], [0.000, 0.500, 0.000], [0.500, 0.000, 0.000], [0.500, 0.500, 0.500]],
  "e_form_raw_ev_per_atom": -0.420,
  "total_energy_ev_per_atom": -2.72,
  "relative_energy_mev_per_atom": 645.9,
  "space_group": "F-43m"
}

=====

Record 11
{
  "formula": "Tm2InSe5",
  "functional": "PBE",
  "state": "optimized geometry",
  "lattice_angstrom": [[2.822, -6.957, 0.000], [2.822, 6.957, 0.000], [0.000, 0.000, 12.617]],
  "species": ["Tm", "Tm", "Tm", "Tm", "In", "In", "Se", "Se", "Se", "Se", "Se", "Se", "Se", "Se", "Se", "Se"],
  "fractional_positions": [[0.164, 0.836, 0.566], [0.164, 0.836, 0.934], [0.836, 0.164, 0.066], [0.836, 0.164, 0.434], [0.187, 0.813, 0.250], [0.813, 0.187, 0.750], [0.033, 0.967, 0.105], [0.033, 0.967, 0.395], [0.278, 0.722, 0.750], [0.315, 0.685, 0.082], [0.315, 0.685, 0.418], [0.685, 0.315, 0.582], [0.685, 0.315, 0.918], [0.722, 0.278, 0.250], [0.967, 0.033, 0.605], [0.967, 0.033, 0.895]],
  "e_form_raw_ev_per_atom": -1.174,
  "total_energy_ev_per_atom": -4.81,
  "space_group": "Cmcm"
}